A:
Entry from Alexandria: a geometry-optimized Ga4B2O9 structure (PBE).

Values from the calculation:
M_tot, μB/cell: 0.06
Calculated volume, A^3/atom: 11.74

The structure in CIF format:
```
data_Ga4B2O9
_cell_length_a 8.204
_cell_length_b 8.204
_cell_length_c 10.986
_cell_angle_alpha 130.46
_cell_angle_beta 130.46
_cell_angle_gamma 41.38
_space_group_name_H-M_alt 'P 1'
_space_group_IT_number 1
loop_
_space_group_symop_operation_xyz
'x,y,z'
loop_
_atom_site_label
_atom_site_type_symbol
_atom_site_fract_x
_atom_site_fract_y
_atom_site_fract_z
Ga1 Ga 0.000 0.000 0.000
Ga2 Ga 0.011 0.011 0.555
Ga3 Ga 0.145 0.145 0.455
Ga4 Ga 0.489 0.991 0.322
Ga5 Ga 0.491 0.996 0.830
Ga6 Ga 0.817 0.817 0.163
Ga7 Ga 0.991 0.489 0.322
Ga8 Ga 0.996 0.491 0.830
B1 B 0.204 0.204 0.043
B2 B 0.489 0.489 0.597
B3 B 0.490 0.490 0.035
B4 B 0.725 0.725 0.559
O1 O 0.046 0.470 0.162
O2 O 0.074 0.074 0.927
O3 O 0.126 0.126 0.245
O4 O 0.191 0.191 0.672
O5 O 0.218 0.633 0.962
O6 O 0.247 0.247 0.955
O7 O 0.351 0.759 0.659
O8 O 0.364 0.364 0.478
O9 O 0.470 0.046 0.162
O10 O 0.508 0.921 0.484
O11 O 0.612 0.612 0.172
O12 O 0.633 0.218 0.962
O13 O 0.747 0.747 0.703
O14 O 0.759 0.351 0.659
O15 O 0.785 0.785 0.969
O16 O 0.846 0.846 0.424
O17 O 0.921 0.508 0.484
O18 O 0.986 0.986 0.356
```

B:
Entry from Alexandria: a geometry-optimized Ga4B2O9 structure (PBE).

Values from the calculation:
M_tot, μB/cell: 0.00
Calculated volume, A^3/atom: 12.36

The structure in CIF format:
```
data_Ga4B2O9
_cell_length_a 8.492
_cell_length_b 8.492
_cell_length_c 11.309
_cell_angle_alpha 130.88
_cell_angle_beta 130.88
_cell_angle_gamma 39.19
_space_group_name_H-M_alt 'P 1'
_space_group_IT_number 1
loop_
_space_group_symop_operation_xyz
'x,y,z'
loop_
_atom_site_label
_atom_site_type_symbol
_atom_site_fract_x
_atom_site_fract_y
_atom_site_fract_z
Ga1 Ga 0.000 0.500 0.000
Ga2 Ga 0.000 0.500 0.500
Ga3 Ga 0.003 0.003 0.263
Ga4 Ga 0.131 0.131 0.136
Ga5 Ga 0.500 0.000 0.000
Ga6 Ga 0.500 0.000 0.500
Ga7 Ga 0.869 0.869 0.864
Ga8 Ga 0.997 0.997 0.737
B1 B 0.290 0.290 0.788
B2 B 0.495 0.495 0.296
B3 B 0.505 0.505 0.704
B4 B 0.710 0.710 0.212
O1 O 0.004 0.004 0.902
O2 O 0.086 0.514 0.858
O3 O 0.156 0.156 0.872
O4 O 0.210 0.210 0.367
O5 O 0.231 0.648 0.632
O6 O 0.273 0.273 0.649
O7 O 0.352 0.769 0.368
O8 O 0.375 0.375 0.163
O9 O 0.486 0.914 0.142
O10 O 0.514 0.086 0.858
O11 O 0.625 0.625 0.837
O12 O 0.648 0.231 0.632
O13 O 0.727 0.727 0.351
O14 O 0.769 0.352 0.368
O15 O 0.790 0.790 0.633
O16 O 0.844 0.844 0.128
O17 O 0.914 0.486 0.142
O18 O 0.996 0.996 0.098
```

Most stable: A. Least stable: B.

A:
Entry from Alexandria: a geometry-optimized GaBPO2 structure (PBE).

Values from the calculation:
M_tot, μB/cell: 0.00
Calculated volume, A^3/atom: 13.42

The structure in CIF format:
```
data_GaBPO2
_cell_length_a 3.204
_cell_length_b 3.204
_cell_length_c 6.537
_cell_angle_alpha 90.00
_cell_angle_beta 90.00
_cell_angle_gamma 90.00
_space_group_name_H-M_alt 'P 1'
_space_group_IT_number 1
loop_
_space_group_symop_operation_xyz
'x,y,z'
loop_
_atom_site_label
_atom_site_type_symbol
_atom_site_fract_x
_atom_site_fract_y
_atom_site_fract_z
Ga1 Ga 0.000 0.000 0.000
B1 B 0.500 0.500 0.500
P1 P 0.500 0.500 0.000
O1 O 0.000 0.500 0.500
O2 O 0.500 0.000 0.500
```

B:
Entry from Alexandria: a geometry-optimized GaBPO2 structure (PBE).

Values from the calculation:
M_tot, μB/cell: 0.56
Calculated volume, A^3/atom: 16.30

The structure in CIF format:
```
data_GaBPO2
_cell_length_a 3.501
_cell_length_b 3.501
_cell_length_c 6.652
_cell_angle_alpha 90.00
_cell_angle_beta 90.00
_cell_angle_gamma 90.00
_space_group_name_H-M_alt 'P 1'
_space_group_IT_number 1
loop_
_space_group_symop_operation_xyz
'x,y,z'
loop_
_atom_site_label
_atom_site_type_symbol
_atom_site_fract_x
_atom_site_fract_y
_atom_site_fract_z
Ga1 Ga 0.000 0.000 0.000
B1 B 0.500 0.500 0.500
P1 P 0.000 0.000 0.500
O1 O 0.000 0.500 0.000
O2 O 0.500 0.000 0.000
```

Most stable: A. Least stable: B.

A:
Entry from Alexandria: a geometry-optimized GaBP2O structure (PBE).

Values from the calculation:
M_tot, μB/cell: 0.00
Calculated volume, A^3/atom: 13.49

The structure in CIF format:
```
data_GaBP2O
_cell_length_a 4.982
_cell_length_b 4.982
_cell_length_c 2.719
_cell_angle_alpha 90.00
_cell_angle_beta 90.00
_cell_angle_gamma 90.00
_space_group_name_H-M_alt 'P 1'
_space_group_IT_number 1
loop_
_space_group_symop_operation_xyz
'x,y,z'
loop_
_atom_site_label
_atom_site_type_symbol
_atom_site_fract_x
_atom_site_fract_y
_atom_site_fract_z
Ga1 Ga 0.000 0.000 0.000
B1 B 0.500 0.500 0.500
P1 P 0.000 0.500 0.500
P2 P 0.500 0.000 0.500
O1 O 0.500 0.500 0.000
```

B:
Entry from Alexandria: a geometry-optimized GaBP2O structure (PBE).

Values from the calculation:
M_tot, μB/cell: 0.00
Calculated volume, A^3/atom: 16.58

The structure in CIF format:
```
data_GaBP2O
_cell_length_a 4.851
_cell_length_b 4.851
_cell_length_c 3.522
_cell_angle_alpha 90.00
_cell_angle_beta 90.00
_cell_angle_gamma 90.00
_space_group_name_H-M_alt 'P 1'
_space_group_IT_number 1
loop_
_space_group_symop_operation_xyz
'x,y,z'
loop_
_atom_site_label
_atom_site_type_symbol
_atom_site_fract_x
_atom_site_fract_y
_atom_site_fract_z
Ga1 Ga 0.000 0.000 0.000
B1 B 0.500 0.500 0.500
P1 P 0.000 0.500 0.000
P2 P 0.500 0.000 0.000
O1 O 0.000 0.000 0.500
```

Most stable: A. Least stable: B.

A:
Entry from Alexandria: a geometry-optimized GaBOs2 structure (PBE).

Values from the calculation:
M_tot, μB/cell: 0.00
Calculated volume, A^3/atom: 12.29

The structure in CIF format:
```
data_GaBOs2
_cell_length_a 4.111
_cell_length_b 4.111
_cell_length_c 4.111
_cell_angle_alpha 60.00
_cell_angle_beta 60.00
_cell_angle_gamma 60.00
_space_group_name_H-M_alt 'P 1'
_space_group_IT_number 1
loop_
_space_group_symop_operation_xyz
'x,y,z'
loop_
_atom_site_label
_atom_site_type_symbol
_atom_site_fract_x
_atom_site_fract_y
_atom_site_fract_z
Ga1 Ga 0.000 0.000 0.000
B1 B 0.500 0.500 0.500
Os1 Os 0.250 0.250 0.250
Os2 Os 0.750 0.750 0.750
```

B:
Entry from Alexandria: a geometry-optimized GaBOs2 structure (PBE).

Values from the calculation:
M_tot, μB/cell: 0.00
Calculated volume, A^3/atom: 15.56

The structure in CIF format:
```
data_GaBOs2
_cell_length_a 7.951
_cell_length_b 7.951
_cell_length_c 7.951
_cell_angle_alpha 150.11
_cell_angle_beta 150.11
_cell_angle_gamma 42.77
_space_group_name_H-M_alt 'P 1'
_space_group_IT_number 1
loop_
_space_group_symop_operation_xyz
'x,y,z'
loop_
_atom_site_label
_atom_site_type_symbol
_atom_site_fract_x
_atom_site_fract_y
_atom_site_fract_z
Ga1 Ga 0.000 0.000 0.000
Ga2 Ga 0.750 0.250 0.500
B1 B 0.250 0.750 0.500
B2 B 0.500 0.500 0.000
Os1 Os 0.214 0.625 0.089
Os2 Os 0.375 0.464 0.589
Os3 Os 0.536 0.125 0.911
Os4 Os 0.875 0.786 0.411
```

Most stable: A. Least stable: B.